## Pm5Dy4 (PBE)

Data for a relaxed Pm5Dy4 crystal.

## Properties
As for the crystal system: monoclinic. For the formation energy, the calculation gives 0.0158 eV/atom.

Cell lengths 8.0546, 8.0546, 5.0826 Å; angles 108.33, 108.33, 84.29 degrees
Closest atoms and distances in Å follow each position.
Fractional coordinates of all 9 atoms:
Pm (0.0000, 0.0000, 0.0000)  4 Pm 3.59, 8 Dy 3.60
Pm (0.3317, 0.3317, 0.3316)  6 Pm 3.59-3.64, 6 Dy 3.59-3.60
Pm (0.3319, 0.6681, 0.0000)  6 Pm 3.59-3.64, 6 Dy 3.59-3.61
Pm (0.6681, 0.3319, 0.0000)  6 Pm 3.59-3.64, 6 Dy 3.59-3.61
Pm (0.6683, 0.6683, 0.6684)  6 Pm 3.59-3.64, 6 Dy 3.59-3.60
Dy (0.0000, 0.3333, 0.6667)  8 Pm 3.59-3.61, 4 Dy 3.60
Dy (0.0000, 0.6667, 0.3333)  8 Pm 3.59-3.61, 4 Dy 3.60
Dy (0.3333, 0.0000, 0.6667)  8 Pm 3.59-3.61, 4 Dy 3.60
Dy (0.6667, 0.0000, 0.3333)  8 Pm 3.59-3.61, 4 Dy 3.60

---

## SrCa2 (PBE)

Data for a relaxed SrCa2 crystal.

## Properties
As for the crystal system: trigonal. For the formation energy, the calculation gives 0.0194 eV/atom. Its energy above the most stable polymorph in this dataset is 0.006 eV/atom.

Cell lengths 4.0285, 4.0285, 9.7945 Å; angles 90.00, 90.00, 120.00 degrees
Closest atoms and distances in Å follow each position.
Fractional coordinates of all 3 atoms:
Sr (0.0000, 0.0000, 0.0000)  6 Sr 4.03, 6 Ca 4.07
Ca (0.3333, 0.6667, 0.6594)  9 Ca 3.89-4.03, 3 Sr 4.07
Ca (0.6667, 0.3333, 0.3406)  9 Ca 3.89-4.03, 3 Sr 4.07

---

no.,electronic total energy (eV per atom)
1,-4.67
2,-1.88